DFT (GGA-PBEsol) results for a geometry-optimized MnZnPb2 structure.

Summary:
- Fermi-level density of states (states/eV/f.u.) = 2.36
- E_form (eV per atom) = 0.41

CIF file:
```
data_MnZnPb2
_chemical_formula_sum 'Mn2 Zn2 Pb4'
_symmetry_space_group_name_H-M 'C m m m'
_symmetry_Int_Tables_number 65
_symmetry_space_group_name_Hall '-C 2 2'
_cell_length_a 6.8921
_cell_length_b 7.4638
_cell_length_c 3.3382
_cell_angle_alpha 90.00
_cell_angle_beta 90.00
_cell_angle_gamma 90.00
loop_
_atom_site_label
_atom_site_fract_x
_atom_site_fract_y
_atom_site_fract_z
Mn1 0.0000 0.0000 0.0000
Zn1 0.0000 0.5000 0.0000
Pb1 0.2500 0.2500 0.5000
```